Entry 1:
## RbSe3N (PBE-GGA)

Data for a relaxed structure of RbSe3N.

Uncorrected formation energy, eV per atom: 0.593

a = 4.7222 Å, b = 4.7222 Å, c = 4.7222 Å
α = 90.00°, β = 90.00°, γ = 90.00°
Closest atoms and distances in Å follow each position.
Element x y z (fractional)
Rb1 0.0000 0.0000 0.0000  12 Se 3.34
Se1 0.0000 0.5000 0.5000  2 N 2.36
Se2 0.5000 0.0000 0.5000  2 N 2.36
Se3 0.5000 0.5000 0.0000  2 N 2.36
N1 0.5000 0.5000 0.5000  6 Se 2.36


Entry 2:
## RbSe2N2 (PBE-GGA)

Data for a relaxed structure of RbSe2N2.

Uncorrected formation energy, eV per atom: 2.605

a = 4.9553 Å, b = 4.9553 Å, c = 7.1071 Å
α = 90.00°, β = 90.00°, γ = 90.00°
Closest atoms and distances in Å follow each position.
Element x y z (fractional)
Rb1 0.0000 0.0000 0.0000  4 N 2.48
Se1 0.0000 0.0000 0.5000  4 Se 3.50, 2 Rb 3.55
Se2 0.5000 0.5000 0.5000  4 Se 3.50
N1 0.0000 0.5000 0.0000  2 Rb 2.48
N2 0.5000 0.0000 0.0000  2 Rb 2.48


Entry 3:
## RbSiSe2N (PBE-GGA)

Data for a relaxed structure of RbSiSe2N.

Uncorrected formation energy, eV per atom: -0.081

a = 5.7944 Å, b = 5.7944 Å, c = 3.2465 Å
α = 90.00°, β = 90.00°, γ = 90.00°
Closest atoms and distances in Å follow each position.
Element x y z (fractional)
Rb1 0.0000 0.0000 0.0000  2 Rb 3.25, 8 Se 3.32
Si1 0.5000 0.5000 0.5000  2 N 1.62
Se1 0.0000 0.5000 0.5000  2 Si 2.90
Se2 0.5000 0.0000 0.5000  2 Si 2.90
N1 0.5000 0.5000 0.0000  2 Si 1.62


Entry 4:
## RbSiSe2N (PBE-GGA)

Data for a relaxed structure of RbSiSe2N.

Uncorrected formation energy, eV per atom: 1.899

a = 5.9927 Å, b = 5.9927 Å, c = 5.0359 Å
α = 90.00°, β = 90.00°, γ = 90.00°
Closest atoms and distances in Å follow each position.
Element x y z (fractional)
Rb1 0.0000 0.0000 0.0000  2 N 2.52
Si1 0.5000 0.5000 0.5000  8 Se 3.91, 4 N 4.24
Se1 0.0000 0.5000 0.0000  2 Rb 3.00
Se2 0.5000 0.0000 0.0000  2 Rb 3.00
N1 0.0000 0.0000 0.5000  2 Rb 2.52


Entry 5:
## RbSnSe2N (PBE-GGA)

Data for a relaxed structure of RbSnSe2N.

Uncorrected formation energy, eV per atom: 0.215

a = 5.5463 Å, b = 5.5463 Å, c = 4.3233 Å
α = 90.00°, β = 90.00°, γ = 90.00°
Closest atoms and distances in Å follow each position.
Element x y z (fractional)
Rb1 0.0000 0.0000 0.0000  8 Se 3.52, 4 N 3.92
Sn1 0.5000 0.5000 0.5000  2 N 2.16
Se1 0.0000 0.5000 0.5000  2 Sn 2.77
Se2 0.5000 0.0000 0.5000  2 Sn 2.77
N1 0.5000 0.5000 0.0000  2 Sn 2.16


Entry 6:
## RbSnSe2N (PBE-GGA)

Data for a relaxed structure of RbSnSe2N.

Uncorrected formation energy, eV per atom: 1.368

a = 5.9734 Å, b = 5.9734 Å, c = 5.0146 Å
α = 90.00°, β = 90.00°, γ = 90.00°
Closest atoms and distances in Å follow each position.
Element x y z (fractional)
Rb1 0.0000 0.0000 0.0000  2 N 2.51
Sn1 0.5000 0.5000 0.5000  8 Se 3.90, 4 N 4.22
Se1 0.0000 0.5000 0.0000  2 Rb 2.99
Se2 0.5000 0.0000 0.0000  2 Rb 2.99
N1 0.0000 0.0000 0.5000  2 Rb 2.51


Entry 7:
## RbSrSeN2 (PBE-GGA)

Data for a relaxed structure of RbSrSeN2.

Uncorrected formation energy, eV per atom: 1.206

a = 5.0253 Å, b = 5.0253 Å, c = 6.4848 Å
α = 90.00°, β = 90.00°, γ = 90.00°
Closest atoms and distances in Å follow each position.
Element x y z (fractional)
Rb1 0.0000 0.0000 0.0000  4 N 2.51
Sr1 0.5000 0.5000 0.5000  4 Se 3.55
Se1 0.0000 0.0000 0.5000  2 Rb 3.24, 4 Sr 3.55
N1 0.0000 0.5000 0.0000  2 Rb 2.51
N2 0.5000 0.0000 0.0000  2 Rb 2.51


Entry 8:
## RbSrSeN2 (PBE-GGA)

Data for a relaxed structure of RbSrSeN2.

Uncorrected formation energy, eV per atom: 0.722

a = 5.1521 Å, b = 5.1521 Å, c = 6.0889 Å
α = 90.00°, β = 90.00°, γ = 90.00°
Closest atoms and distances in Å follow each position.
Element x y z (fractional)
Rb1 0.0000 0.0000 0.0000  4 Se 3.64, 8 N 3.99
Sr1 0.5000 0.5000 0.5000  4 N 2.58
Se1 0.5000 0.5000 0.0000  2 Sr 3.04
N1 0.0000 0.5000 0.5000  2 Sr 2.58
N2 0.5000 0.0000 0.5000  2 Sr 2.58


Entry 9:
## RbTaSeN2 (PBE-GGA)

Data for a relaxed structure of RbTaSeN2.

Uncorrected formation energy, eV per atom: -0.038

a = 4.2458 Å, b = 4.2458 Å, c = 5.2164 Å
α = 90.00°, β = 90.00°, γ = 90.00°
Closest atoms and distances in Å follow each position.
Element x y z (fractional)
Rb1 0.0000 0.0000 0.0000  4 Se 3.00
Ta1 0.5000 0.5000 0.5000  4 N 2.12
Se1 0.5000 0.5000 0.0000  2 Ta 2.61
N1 0.0000 0.5000 0.5000  2 Ta 2.12
N2 0.5000 0.0000 0.5000  2 Ta 2.12


Entry 10:
## RbTaSeN2 (PBE-GGA)

Data for a relaxed structure of RbTaSeN2.

Uncorrected formation energy, eV per atom: 2.822

a = 4.0705 Å, b = 4.0705 Å, c = 5.7143 Å
α = 90.00°, β = 90.00°, γ = 90.00°
Closest atoms and distances in Å follow each position.
Element x y z (fractional)
Rb1 0.0000 0.0000 0.0000  4 N 2.04
Ta1 0.5000 0.5000 0.5000  4 Se 2.88
Se1 0.0000 0.0000 0.5000  2 Rb 2.86, 4 Ta 2.88
N1 0.0000 0.5000 0.0000  2 Rb 2.04
N2 0.5000 0.0000 0.0000  2 Rb 2.04


Entry 11:
## RbTcSeN2 (PBE-GGA)

Data for a relaxed structure of RbTcSeN2.

Uncorrected formation energy, eV per atom: 3.153

a = 4.1372 Å, b = 4.1372 Å, c = 6.2211 Å
α = 90.00°, β = 90.00°, γ = 90.00°
Closest atoms and distances in Å follow each position.
Element x y z (fractional)
Rb1 0.0000 0.0000 0.0000  4 N 2.07
Tc1 0.5000 0.5000 0.5000  4 Se 2.93
Se1 0.0000 0.0000 0.5000  4 Tc 2.93, 2 Rb 3.11
N1 0.0000 0.5000 0.0000  2 Rb 2.07
N2 0.5000 0.0000 0.0000  2 Rb 2.07


Entry 12:
## RbTcSeN2 (PBE-GGA)

Data for a relaxed structure of RbTcSeN2.

Uncorrected formation energy, eV per atom: 0.501

a = 4.0674 Å, b = 4.0674 Å, c = 5.1806 Å
α = 90.00°, β = 90.00°, γ = 90.00°
Closest atoms and distances in Å follow each position.
Element x y z (fractional)
Rb1 0.0000 0.0000 0.0000  4 Se 2.88
Tc1 0.5000 0.5000 0.5000  4 N 2.03
Se1 0.5000 0.5000 0.0000  2 Tc 2.59, 4 Rb 2.88
N1 0.0000 0.5000 0.5000  2 Tc 2.03
N2 0.5000 0.0000 0.5000  2 Tc 2.03


Entry 13:
## RbTeSeN2 (PBE-GGA)

Data for a relaxed structure of RbTeSeN2.

Uncorrected formation energy, eV per atom: 1.426

a = 4.7186 Å, b = 4.7186 Å, c = 5.4352 Å
α = 90.00°, β = 90.00°, γ = 90.00°
Closest atoms and distances in Å follow each position.
Element x y z (fractional)
Rb1 0.0000 0.0000 0.0000  4 Te 3.34, 8 N 3.60
Te1 0.5000 0.5000 0.0000  2 Se 2.72
Se1 0.5000 0.5000 0.5000  4 N 2.36
N1 0.0000 0.5000 0.5000  2 Se 2.36
N2 0.5000 0.0000 0.5000  2 Se 2.36


Entry 14:
## RbTeSe2N (PBE-GGA)

Data for a relaxed structure of RbTeSe2N.

Uncorrected formation energy, eV per atom: 1.660

a = 6.0580 Å, b = 6.0580 Å, c = 5.0494 Å
α = 90.00°, β = 90.00°, γ = 90.00°
Closest atoms and distances in Å follow each position.
Element x y z (fractional)
Rb1 0.0000 0.0000 0.0000  2 N 2.52
Te1 0.5000 0.5000 0.5000  8 Se 3.94, 4 N 4.28
Se1 0.0000 0.5000 0.0000  2 Rb 3.03
Se2 0.5000 0.0000 0.0000  2 Rb 3.03
N1 0.0000 0.0000 0.5000  2 Rb 2.52


Entry 15:
## RbTeSeN2 (PBE-GGA)

Data for a relaxed structure of RbTeSeN2.

Uncorrected formation energy, eV per atom: 1.017

a = 4.4987 Å, b = 4.4987 Å, c = 5.5317 Å
α = 90.00°, β = 90.00°, γ = 90.00°
Closest atoms and distances in Å follow each position.
Element x y z (fractional)
Rb1 0.0000 0.0000 0.0000  4 Se 3.18
Te1 0.5000 0.5000 0.5000  4 N 2.25
Se1 0.5000 0.5000 0.0000  2 Te 2.77
N1 0.0000 0.5000 0.5000  2 Te 2.25
N2 0.5000 0.0000 0.5000  2 Te 2.25


Entry 16:
## RbTeSeN2 (PBE-GGA)

Data for a relaxed structure of RbTeSeN2.

Uncorrected formation energy, eV per atom: 2.136

a = 5.0032 Å, b = 5.0032 Å, c = 6.8077 Å
α = 90.00°, β = 90.00°, γ = 90.00°
Closest atoms and distances in Å follow each position.
Element x y z (fractional)
Rb1 0.0000 0.0000 0.0000  4 N 2.50
Te1 0.5000 0.5000 0.5000  4 Se 3.54
Se1 0.0000 0.0000 0.5000  2 Rb 3.40, 4 Te 3.54
N1 0.0000 0.5000 0.0000  2 Rb 2.50
N2 0.5000 0.0000 0.0000  2 Rb 2.50


Entry 17:
## RbTeSe2N (PBE-GGA)

Data for a relaxed structure of RbTeSe2N.

Uncorrected formation energy, eV per atom: 0.370

a = 5.5736 Å, b = 5.5736 Å, c = 4.3462 Å
α = 90.00°, β = 90.00°, γ = 90.00°
Closest atoms and distances in Å follow each position.
Element x y z (fractional)
Rb1 0.0000 0.0000 0.0000  8 Se 3.53, 4 N 3.94
Te1 0.5000 0.5000 0.5000  2 N 2.17
Se1 0.0000 0.5000 0.5000  2 Te 2.79
Se2 0.5000 0.0000 0.5000  2 Te 2.79
N1 0.5000 0.5000 0.0000  2 Te 2.17


Entry 18:
## RbTiSeN2 (PBE-GGA)

Data for a relaxed structure of RbTiSeN2.

Uncorrected formation energy, eV per atom: 2.356

a = 4.1423 Å, b = 4.1423 Å, c = 5.9797 Å
α = 90.00°, β = 90.00°, γ = 90.00°
Closest atoms and distances in Å follow each position.
Element x y z (fractional)
Rb1 0.0000 0.0000 0.0000  4 N 2.07
Ti1 0.5000 0.5000 0.5000  4 Se 2.93
Se1 0.0000 0.0000 0.5000  4 Ti 2.93, 2 Rb 2.99
N1 0.0000 0.5000 0.0000  2 Rb 2.07
N2 0.5000 0.0000 0.0000  2 Rb 2.07


Entry 19:
## RbTiSe2N (PBE-GGA)

Data for a relaxed structure of RbTiSe2N.

Uncorrected formation energy, eV per atom: 1.871

a = 5.5681 Å, b = 5.5681 Å, c = 4.1632 Å
α = 90.00°, β = 90.00°, γ = 90.00°
Closest atoms and distances in Å follow each position.
Element x y z (fractional)
Rb1 0.0000 0.0000 0.0000  2 N 2.08
Ti1 0.5000 0.5000 0.5000  8 Se 3.48
Se1 0.0000 0.5000 0.0000  2 Rb 2.78
Se2 0.5000 0.0000 0.0000  2 Rb 2.78
N1 0.0000 0.0000 0.5000  2 Rb 2.08


Entry 20:
## RbTiSe2N (PBE-GGA)

Data for a relaxed structure of RbTiSe2N.

Uncorrected formation energy, eV per atom: -0.446

a = 5.2699 Å, b = 5.2699 Å, c = 4.0005 Å
α = 90.00°, β = 90.00°, γ = 90.00°
Closest atoms and distances in Å follow each position.
Element x y z (fractional)
Rb1 0.0000 0.0000 0.0000  8 Se 3.31
Ti1 0.5000 0.5000 0.5000  2 N 2.00
Se1 0.0000 0.5000 0.5000  2 Ti 2.63
Se2 0.5000 0.0000 0.5000  2 Ti 2.63
N1 0.5000 0.5000 0.0000  2 Ti 2.00


Results for magnetic moment: 0.000, 0.694, 0.000, 0.804, 0.412, 0.794, 1.000, 1.003, 0.363, 0.000, 0.470, 0.000, 0.638, 0.844, 0.549, 1.177, 0.378, 0.235, 0.017, 0.336 (in μB/atom, following the order of the records).
Results for excess energy over the best structure of this formula in the dataset: 0.0, 2214.2, 0.0, 1980.0, 0.0, 1153.3, 484.1, 0.0, 0.0, 2860.5, 2651.8, 0.0, 409.6, 1289.4, 0.0, 1119.1, 0.0, 2219.3, 2316.6, 0.0 (in meV per atom, following the order of the records).